Entry 1:
# Th6Co2Ir3Se

Th6Co2Ir3Se after structural relaxation (PBE, Alexandria via LeMat-Bulk).

Cell: 4.073 8.359 9.153 Å, 102.77 102.86 90.00°
Element x y z (fractional)
1 Th 0.324 0.909 0.648
2 Th 0.669 0.580 0.337
3 Th 0.676 0.091 0.352
4 Th 0.010 0.270 0.019
5 Th 0.990 0.730 0.981
6 Th 0.331 0.420 0.663
7 Co 0.833 0.668 0.666
8 Co 0.167 0.332 0.334
9 Ir 0.500 0.500 0.000
10 Ir 0.841 0.169 0.681
11 Ir 0.159 0.831 0.319
12 Se 0.500 0.000 0.000

Calculated total energy, eV/atom: -8.19
Formation energy from raw total energies, eV/atom: -0.786
Magnetization, μB per cell: 0.0

=====

Entry 2:
# HgMoI2

HgMoI2 after structural relaxation (PBE, Alexandria via LeMat-Bulk).

Cell: 5.177 5.177 5.177 Å, 60.00 60.00 60.00°
Element x y z (fractional)
1 I 0.250 0.250 0.250
2 I 0.750 0.750 0.750
3 Mo 0.000 0.000 0.000
4 Hg 0.500 0.500 0.500

Calculated total energy, eV/atom: -2.66
Formation energy from raw total energies, eV/atom: 0.901
Energy above the lowest structure with this stoichiometry, eV/atom: 0.405
Magnetization, μB per cell: 0.0

=====

Entry 3:
# ScSb2RhC

ScSb2RhC after structural relaxation (PBE, Alexandria via LeMat-Bulk).

Cell: 4.989 4.944 4.989 Å, 90.00 90.00 90.00°
Element x y z (fractional)
1 Sc 0.000 0.500 0.000
2 Sb 0.000 0.000 0.500
3 Sb 0.500 0.000 0.000
4 C 0.500 0.500 0.500
5 Rh 0.000 0.000 0.000

Calculated total energy, eV/atom: -5.06
Formation energy from raw total energies, eV/atom: 1.170
Magnetization, μB per cell: 0.0

=====

Entry 4:
# HfAg

HfAg after structural relaxation (PBE, Alexandria via LeMat-Bulk).

Cell: 11.495 3.474 6.198 Å, 90.00 90.00 90.00°
Element x y z (fractional)
1 Hf 0.833 0.000 0.186
2 Hf 0.167 0.000 0.186
3 Hf 0.333 0.500 0.686
4 Hf 0.667 0.500 0.686
5 Hf 0.000 0.500 0.913
6 Hf 0.500 0.000 0.413
7 Ag 0.858 0.000 0.654
8 Ag 0.142 0.000 0.654
9 Ag 0.358 0.500 0.154
10 Ag 0.642 0.500 0.154
11 Ag 0.000 0.500 0.408
12 Ag 0.500 0.000 0.908

Formation energy, eV/atom: 0.172
Calculated total energy, eV/atom: -6.23
Magnetization, μB per cell: 0.0